# LiWF3

A geometry-optimized LiWF3 structure (PBE with a Hubbard U, Alexandria via LeMat-Bulk).

POSCAR file:
```
LiWF3
1.0
-0.2274 -3.7365 2.2451
4.2921 -0.5848 -0.5386
0.7618 2.1795 3.7045
F Li W
3 1 1
Direct
0.0000 0.5000 0.0000 F
0.5000 0.0000 0.0000 F
0.0000 0.0000 0.5000 F
0.5000 0.5000 0.5000 Li
0.0000 0.0000 0.0000 W
```

## Properties
E above lowest polymorph   0.0000 eV per atom